A plane-wave DFT calculation with PBE was carried out for a geometry-optimized SrAc2Ni structure.

a b c (Å): 4.2477 4.2477 10.7244
angles (deg): 78.58 78.58 60.00
Element x y z (fractional)
Sr (0.5000, 0.5000, 0.5000)
Ac (0.7186, 0.7186, 0.8442)
Ac (0.2814, 0.2814, 0.1558)
Ni (0.0000, 0.0000, 0.0000)

energy relative to the elements: -0.43 eV/f.u.
total moment: 0.000 μB per formula unit
energy: -16.114 eV per cell



A plane-wave DFT calculation with PBE was carried out for a geometry-optimized SrAc2Ni structure.

a b c (Å): 3.8000 3.8000 10.2978
angles (deg): 90.00 90.00 90.00
Element x y z (fractional)
Sr (0.5000, 0.5000, 0.5000)
Ac (0.0000, 0.0000, 0.8322)
Ac (0.0000, 0.0000, 0.1678)
Ni (0.5000, 0.5000, 0.0000)

energy relative to the elements: -0.07 eV/f.u.
total moment: 0.000 μB per formula unit
energy: -15.755 eV per cell



A plane-wave DFT calculation with PBE was carried out for a geometry-optimized SrAc2Ni structure.

a b c (Å): 4.2791 4.2791 10.6707
angles (deg): 78.43 78.43 60.00
Element x y z (fractional)
Sr (0.5009, 0.5009, 0.4973)
Ac (0.0511, 0.0511, 0.8467)
Ac (0.2819, 0.2819, 0.1544)
Ni (0.6661, 0.6661, 0.0016)

energy relative to the elements: -0.44 eV/f.u.
total moment: 0.000 μB per formula unit
energy: -16.121 eV per cell



A plane-wave DFT calculation with PBE was carried out for a geometry-optimized Sr3AcNi2 structure.

a b c (Å): 4.1718 9.5733 11.2465
angles (deg): 77.69 79.31 77.41
Element x y z (fractional)
Sr (0.1606, 0.9371, 0.7417)
Sr (0.8394, 0.0629, 0.2583)
Sr (0.4105, 0.2336, 0.9454)
Sr (0.5895, 0.7664, 0.0546)
Sr (0.5891, 0.2672, 0.5547)
Sr (0.4109, 0.7328, 0.4453)
Ac (0.8322, 0.5687, 0.7670)
Ac (0.1678, 0.4313, 0.2330)
Ni (0.2412, 0.5632, 0.9544)
Ni (0.7588, 0.4368, 0.0456)
Ni (0.7613, 0.9424, 0.5351)
Ni (0.2387, 0.0576, 0.4649)

energy relative to the elements: -0.46 eV/f.u.
total moment: 0.000 μB per formula unit
energy: -42.355 eV per cell